Entry 1:
# Tb2PmDyMg

A geometry-optimized Tb2PmDyMg structure (PBE-GGA, Alexandria via LeMat-Bulk).

Unit cell a=5.6111 b=6.1429 c=9.4537 alpha=70.91 beta=90.00 gamma=90.00
Element x y z (fractional)
1 Mg 0.7500 0.5773 0.1938
2 Mg 0.2500 0.4227 0.8062
3 Dy 0.2500 0.8322 0.0021
4 Dy 0.7500 0.1678 0.9979
5 Tb 0.7500 0.9812 0.3948
6 Tb 0.7500 0.7530 0.7977
7 Tb 0.2500 0.0188 0.6052
8 Tb 0.2500 0.2470 0.2023
9 Pm 0.7500 0.3542 0.6101
10 Pm 0.2500 0.6458 0.3899

Calculated values
E_form: 0.016 eV/atom
E: -20.1 eV/f.u.
ρ: 7.01 g/cm³
Fermi-level density of states: 7.26 states/eV/f.u.
Symmetry: P2_1/m, No. 11

Entry 2:
# Tb2Pm3Dy6Mg

A geometry-optimized Tb2Pm3Dy6Mg structure (PBE-GGA, Alexandria via LeMat-Bulk).

Unit cell a=6.1588 b=6.1588 c=11.7493 alpha=95.03 beta=95.03 gamma=120.04
Element x y z (fractional)
1 Tb 0.3336 0.6664 0.0000
2 Tb 0.6664 0.3336 0.0000
3 Dy 0.0810 0.4133 0.2460
4 Dy 0.4133 0.0810 0.2460
5 Dy 0.2511 0.2511 0.7531
6 Dy 0.5867 0.9190 0.7540
7 Dy 0.9190 0.5867 0.7540
8 Dy 0.7489 0.7489 0.2469
9 Pm 0.1660 0.8340 0.5000
10 Pm 0.8340 0.1660 0.5000
11 Pm 0.5000 0.5000 0.5000
12 Mg 0.0000 0.0000 0.0000

Calculated values
E_form: 0.029 eV/atom
E: -52.4 eV/f.u.
ρ: 7.66 g/cm³
Fermi-level density of states: 17.47 states/eV/f.u.
Symmetry: C2/m, No. 12

Entry 3:
# Tb2PmDy6Mg

A geometry-optimized Tb2PmDy6Mg structure (PBE-GGA, Alexandria via LeMat-Bulk).

Unit cell a=6.6089 b=10.8979 c=10.8979 alpha=125.53 beta=85.92 gamma=85.92
Element x y z (fractional)
1 Tb 0.9979 0.3460 0.1795
2 Tb 0.4979 0.1795 0.3460
3 Tb 0.5021 0.8205 0.6540
4 Tb 0.0021 0.6540 0.8205
5 Dy 0.9813 0.3053 0.4776
6 Dy 0.2811 0.9140 0.4336
7 Dy 0.0187 0.6947 0.5224
8 Dy 0.2189 0.5664 0.0860
9 Dy 0.7811 0.4336 0.9140
10 Dy 0.7189 0.0860 0.5664
11 Dy 0.9667 0.9195 0.2101
12 Dy 0.0333 0.0805 0.7899
13 Dy 0.5187 0.5224 0.6947
14 Dy 0.5333 0.7899 0.0805
15 Dy 0.4667 0.2101 0.9195
16 Dy 0.4813 0.4776 0.3053
17 Pm 0.7500 0.0092 0.9908
18 Pm 0.2500 0.9908 0.0092
19 Mg 0.7500 0.7076 0.2924
20 Mg 0.2500 0.2924 0.7076

Calculated values
E_form: 0.113 eV/atom
E: -42.1 eV/f.u.
ρ: 7.70 g/cm³
Fermi-level density of states: 15.53 states/eV/f.u.
Symmetry: C2/c, No. 15